VASP calculation (PBE) on crystalline La2PaCu3Ni12 at its relaxed geometry.

a b c (Å): 6.431 6.431 6.431
angles (deg): 83.55 83.55 83.55
Sites, in units of the cell vectors:
Ni 0.399 0.883 0.399
Ni 0.601 0.601 0.117
Ni 0.284 0.803 0.803
Ni 0.883 0.399 0.399
Cu 0.500 0.000 0.000
Ni 0.803 0.284 0.803
Pa 0.000 0.000 0.000
La 0.324 0.324 0.324
Ni 0.803 0.803 0.284
Ni 0.399 0.399 0.883
Ni 0.117 0.601 0.601
La 0.676 0.676 0.676
Cu 0.000 0.500 0.000
Cu 0.000 0.000 0.500
Ni 0.716 0.197 0.197
Ni 0.197 0.716 0.197
Ni 0.197 0.197 0.716
Ni 0.601 0.117 0.601

## Properties
Calculated formation energy ... -0.029 eV/atom
SG ... R-3m (166)
Magnetization ... 0.00 Bohr magnetons per cell
Theoretical density ... 8.9 g cm⁻³
Crystal system ... trigonal



VASP calculation (PBE) on crystalline SmZn2SiAu4 at its relaxed geometry.

a b c (Å): 4.438 4.438 9.301
angles (deg): 76.20 76.20 60.00
Sites, in units of the cell vectors:
Au 0.399 0.399 0.803
Zn 0.252 0.252 0.244
Zn 0.748 0.748 0.756
Sm 0.000 0.000 0.000
Au 0.601 0.601 0.197
Si 0.500 0.500 0.500
Au 0.867 0.867 0.398
Au 0.133 0.133 0.602

## Properties
SG ... R-3m (166)
Magnetization ... 0.00 Bohr magnetons per cell
E_form (uncorrected) ... -0.322 eV/atom
Theoretical density ... 11.9 g cm⁻³
Crystal system ... trigonal



VASP calculation (PBE) on crystalline SrGePt at its relaxed geometry.

a b c (Å): 6.680 6.680 6.680
angles (deg): 90.00 90.00 90.00
Sites, in units of the cell vectors:
Pt 0.083 0.583 0.917
Sr 0.367 0.867 0.633
Ge 0.833 0.833 0.833
Ge 0.167 0.333 0.667
Sr 0.867 0.633 0.367
Pt 0.417 0.417 0.417
Pt 0.583 0.917 0.083
Sr 0.133 0.133 0.133
Pt 0.917 0.083 0.583
Ge 0.667 0.167 0.333
Ge 0.333 0.667 0.167
Sr 0.633 0.367 0.867

## Properties
Calculated formation energy ... -0.907 eV/atom
SG ... P2_13 (198)
Magnetization ... 0.00 Bohr magnetons per cell
Theoretical density ... 7.9 g cm⁻³
Crystal system ... cubic



VASP calculation (PBE) on crystalline Nd3U2Os4 at its relaxed geometry.

a b c (Å): 4.331 6.052 8.935
angles (deg): 102.72 90.02 110.97
Sites, in units of the cell vectors:
Os 0.276 0.552 0.909
Os 0.919 0.838 0.367
Nd 0.628 0.257 0.381
Nd 0.000 0.000 0.000
Nd 0.372 0.743 0.619
Os 0.724 0.448 0.091
U 0.672 0.344 0.776
U 0.328 0.656 0.224
Os 0.081 0.162 0.633

## Properties
Calculated formation energy ... -0.135 eV/atom
SG ... C2/m (12)
Magnetization ... 0.04 Bohr magnetons per cell
Theoretical density ... 13.0 g cm⁻³
Crystal system ... monoclinic



VASP calculation (PBE) on crystalline CdCuIr at its relaxed geometry.

a b c (Å): 2.832 2.832 6.699
angles (deg): 90.00 90.00 120.00
Sites, in units of the cell vectors:
Cu 0.333 0.667 0.344
Ir 0.667 0.333 0.651
Cd 0.000 0.000 0.005

## Properties
Calculated formation energy ... 0.190 eV/atom
SG ... P3m1 (156)
Magnetization ... 0.00 Bohr magnetons per cell
Theoretical density ... 13.1 g cm⁻³
Crystal system ... trigonal
ΔE to the lowest computed polymorph ... 0 meV per atom



VASP calculation (PBE) on crystalline Ho2Ge2Os at its relaxed geometry.

a b c (Å): 4.295 5.793 9.185
angles (deg): 81.35 76.49 68.24
Sites, in units of the cell vectors:
Ge 0.513 0.849 0.124
Os 0.270 0.092 0.368
Ge 0.358 0.723 0.561
Ho 0.996 0.334 0.675
Ge 0.487 0.151 0.876
Os 0.730 0.908 0.632
Ge 0.642 0.277 0.439
Ho 0.816 0.252 0.115
Ho 0.004 0.666 0.325
Ho 0.184 0.748 0.885

## Properties
Calculated formation energy ... -0.698 eV/atom
SG ... C2/m (12)
Magnetization ... 0.00 Bohr magnetons per cell
Theoretical density ... 10.7 g cm⁻³
Crystal system ... monoclinic



VASP calculation (PBE) on crystalline ZnBr2 at its relaxed geometry.

a b c (Å): 5.692 5.692 5.692
angles (deg): 109.83 109.83 108.75
Sites, in units of the cell vectors:
Br 0.685 0.815 0.500
Br 0.315 0.185 0.500
Br 0.185 0.685 0.870
Zn 0.750 0.750 0.000
Br 0.815 0.315 0.130
Zn 0.250 0.250 0.000

## Properties
SG ... I4/mcm (140)
Magnetization ... 0.00 Bohr magnetons per cell
E_form (uncorrected) ... -0.232 eV/atom
Theoretical density ... 5.3 g cm⁻³
Crystal system ... tetragonal



VASP calculation (PBE) on crystalline Ag2C at its relaxed geometry.

a b c (Å): 4.806 4.806 4.806
angles (deg): 108.60 108.60 111.23
Sites, in units of the cell vectors:
Ag 0.688 0.188 0.877
C 0.750 0.750 0.000
Ag 0.188 0.312 0.500
Ag 0.812 0.688 0.500
C 0.250 0.250 0.000
Ag 0.312 0.812 0.123

## Properties
Calculated formation energy ... 1.456 eV/atom
SG ... I4/mcm (140)
Magnetization ... 0.00 Bohr magnetons per cell
Theoretical density ... 8.9 g cm⁻³
Crystal system ... tetragonal
ΔE to the lowest computed polymorph ... 829 meV per atom